{"formula": "MgCuNi2", "functional": "PBE", "state": "optimized geometry", "cell": [[1.3337, 0.7700, 8.3119], [-1.3337, 0.7700, 8.3119], [0.0000, -1.5400, 8.3119]], "species": ["Mg", "Cu", "Ni", "Ni"], "fractional_positions": [[0.0000, 0.0000, 0.0000], [0.7567, 0.7567, 0.7567], [0.2481, 0.2481, 0.2481], [0.5036, 0.5036, 0.5036]], "vol_a3_per_atom": 12.8, "formation_enthalpy_0k_mev_per_atom": 117.4, "m_tot_mub_per_cell": 0.73, "e_tot_ev_per_atom": -4.1960}


{"formula": "Mg3CuNi2", "functional": "PBE", "state": "optimized geometry", "cell": [[2.2065, -6.6338, 0.0000], [2.2065, 6.6338, 0.0000], [0.0000, 0.0000, 2.9966]], "species": ["Mg", "Mg", "Mg", "Cu", "Ni", "Ni"], "fractional_positions": [[0.0000, 0.0000, 0.0000], [0.3283, 0.6717, 0.0000], [0.6717, 0.3283, 0.0000], [0.5000, 0.5000, 0.5000], [0.1634, 0.8366, 0.5000], [0.8366, 0.1634, 0.5000]], "vol_a3_per_atom": 14.6, "formation_enthalpy_0k_mev_per_atom": -129.0, "m_tot_mub_per_cell": 0.00, "e_tot_ev_per_atom": -3.5361}


{"formula": "MgCuNi4", "functional": "PBE", "state": "optimized geometry", "cell": [[0.0000, 3.3399, 3.3399], [3.3399, 0.0000, 3.3399], [3.3399, 3.3399, 0.0000]], "species": ["Mg", "Cu", "Ni", "Ni", "Ni", "Ni"], "fractional_positions": [[0.0000, 0.0000, 0.0000], [0.2500, 0.2500, 0.2500], [0.1258, 0.6247, 0.6247], [0.6247, 0.1258, 0.6247], [0.6247, 0.6247, 0.1258], [0.6247, 0.6247, 0.6247]], "vol_a3_per_atom": 12.4, "formation_enthalpy_0k_mev_per_atom": -51.8, "m_tot_mub_per_cell": 0.79, "e_tot_ev_per_atom": -4.8545}


{"formula": "Mg2Cu3Ni", "functional": "PBE", "state": "optimized geometry", "cell": [[4.2330, -2.4583, 0.0000], [4.2330, 2.4583, 0.0000], [-2.8386, 0.0000, 4.0868]], "species": ["Mg", "Mg", "Cu", "Cu", "Cu", "Ni"], "fractional_positions": [[0.1273, 0.1273, 0.3819], [0.8727, 0.8727, 0.6181], [0.0000, 0.5000, 0.0000], [0.5000, 0.0000, 0.0000], [0.5000, 0.5000, 0.0000], [0.5000, 0.5000, 0.5000]], "vol_a3_per_atom": 14.2, "formation_enthalpy_0k_mev_per_atom": -166.3, "m_tot_mub_per_cell": 0.00, "e_tot_ev_per_atom": -3.7095}


{"formula": "MgCu2Ni", "functional": "PBE", "state": "optimized geometry", "cell": [[4.4825, -1.3932, 0.0000], [4.4825, 1.3932, 0.0000], [-1.2033, 0.0000, 4.1790]], "species": ["Mg", "Cu", "Cu", "Ni"], "fractional_positions": [[0.0000, 0.0000, 0.0000], [0.2376, 0.2376, 0.7340], [0.7624, 0.7624, 0.2660], [0.5000, 0.5000, 0.5000]], "vol_a3_per_atom": 13.0, "formation_enthalpy_0k_mev_per_atom": -37.3, "m_tot_mub_per_cell": 0.00, "e_tot_ev_per_atom": -3.9293}


{"formula": "MgCuNi", "functional": "PBE", "state": "optimized geometry", "cell": [[0.0000, 2.8784, 2.8784], [2.8784, 0.0000, 2.8784], [2.8784, 2.8784, 0.0000]], "species": ["Mg", "Cu", "Ni"], "fractional_positions": [[0.0000, 0.0000, 0.0000], [0.5000, 0.5000, 0.5000], [0.7500, 0.7500, 0.7500]], "vol_a3_per_atom": 15.9, "formation_enthalpy_0k_mev_per_atom": 191.7, "m_tot_mub_per_cell": 0.00, "relative_energy_mev_per_atom": 375, "e_tot_ev_per_atom": -3.6323}


{"formula": "MgCu8Ni4", "functional": "PBE", "state": "optimized geometry", "cell": [[2.4701, 1.4261, 7.9631], [-2.4701, 1.4261, 7.9631], [0.0000, -2.8522, 7.9631]], "species": ["Mg", "Cu", "Cu", "Cu", "Cu", "Cu", "Cu", "Cu", "Cu", "Ni", "Ni", "Ni", "Ni"], "fractional_positions": [[0.0000, 0.0000, 0.0000], [0.1827, 0.1827, 0.1827], [0.2427, 0.7452, 0.7452], [0.2548, 0.2548, 0.7573], [0.2548, 0.7573, 0.2548], [0.7452, 0.2427, 0.7452], [0.7452, 0.7452, 0.2427], [0.7573, 0.2548, 0.2548], [0.8173, 0.8173, 0.8173], [0.0000, 0.5000, 0.5000], [0.5000, 0.0000, 0.5000], [0.5000, 0.5000, 0.0000], [0.5000, 0.5000, 0.5000]], "vol_a3_per_atom": 12.9, "formation_enthalpy_0k_mev_per_atom": 224.9, "m_tot_mub_per_cell": 0.57, "e_tot_ev_per_atom": -4.1974}


{"formula": "Mg5Cu4Ni", "functional": "PBE", "state": "optimized geometry", "cell": [[3.1338, 0.0000, 0.0000], [0.0000, 3.1338, 0.0000], [0.0000, 0.0000, 15.6231]], "species": ["Mg", "Mg", "Mg", "Mg", "Mg", "Cu", "Cu", "Cu", "Cu", "Ni"], "fractional_positions": [[0.0000, 0.0000, 0.0000], [0.0000, 0.0000, 0.2022], [0.0000, 0.0000, 0.4056], [0.0000, 0.0000, 0.5944], [0.0000, 0.0000, 0.7978], [0.5000, 0.5000, 0.1009], [0.5000, 0.5000, 0.3045], [0.5000, 0.5000, 0.6955], [0.5000, 0.5000, 0.8991], [0.5000, 0.5000, 0.5000]], "vol_a3_per_atom": 15.3, "formation_enthalpy_0k_mev_per_atom": -106.9, "m_tot_mub_per_cell": 0.00, "e_tot_ev_per_atom": -3.1208}


Number 4 is which compound?
Mg2Cu3Ni